Material: CaBeRh2
Method: DFT, PBE
State: optimized geometry

Calculated values
For the calculated density, the calculation gives 6.33 g/cm3. Its calculated volume is 16.724 Å³ per atom. Its formation energy is 1.15 eV/f.u. The total energy is -4.821 eV per atom. The symmetry is R3m. Its density of states at the Fermi level is 3.80 states/eV per cell.

POSCAR file:
```
CaBeRh2
1.0
-0.241 5.737 -5.283
-2.794 3.999 -6.090
-3.005 6.152 -3.743
Ca Rh Be
1 2 1
Direct
0.754 0.754 0.754
0.994 0.994 0.994
0.233 0.233 0.233
0.520 0.520 0.520
```